(1)
The following is a DFT calculation (GGA-PBE) of MgSc4Mo after structural relaxation.

Computed properties:
- Formation energy from the elements: 0.512 eV/atom
- Space-group type: F-43m, No. 216

a = 5.6949 Å, b = 5.6949 Å, c = 5.6949 Å
α = 60.00°, β = 60.00°, γ = 60.00°
Fractional positions:
Mg 0.0000 0.0000 0.0000
Sc 0.3770 0.3770 0.3770
Sc 0.3770 0.3770 0.8690
Sc 0.3770 0.8690 0.3770
Sc 0.8690 0.3770 0.3770
Mo 0.7500 0.7500 0.7500

=====

(2)
The following is a DFT calculation (GGA-PBE) of SrBrCl2 after structural relaxation.

Computed properties:
- E above lowest polymorph: 119.6 meV/atom
- Space-group type: Imm2, No. 44
- Formation energy from raw total energies: -1.516 eV per atom

a = 4.2702 Å, b = 4.3360 Å, c = 13.2459 Å
α = 90.00°, β = 90.00°, γ = 90.00°
Fractional positions:
Sr 0.0000 0.0000 0.0000
Sr 0.5000 0.5000 0.5000
Br 0.0000 0.5000 0.8309
Br 0.5000 0.0000 0.3309
Cl 0.0000 0.0000 0.5692
Cl 0.0000 0.5000 0.3431
Cl 0.5000 0.0000 0.8431
Cl 0.5000 0.5000 0.0692

=====

(3)
The following is a DFT calculation (GGA-PBE) of BaZnRu after structural relaxation.

Computed properties:
- Formation energy from the elements: 0.088 eV/atom
- Space-group type: P4/nmm, No. 129

a = 4.7107 Å, b = 4.7107 Å, c = 7.1503 Å
α = 90.00°, β = 90.00°, γ = 90.00°
Fractional positions:
Ba 0.2500 0.2500 0.1913
Ba 0.7500 0.7500 0.8087
Zn 0.2500 0.2500 0.6394
Zn 0.7500 0.7500 0.3606
Ru 0.2500 0.7500 0.5000
Ru 0.7500 0.2500 0.5000

=====

(4)
The following is a DFT calculation (GGA-PBE) of LiMn2B2 after structural relaxation.

Computed properties:
- Formation energy from the elements: -0.253 eV/atom
- Space-group type: P4/mbm, No. 127

a = 5.4293 Å, b = 5.4293 Å, c = 2.7962 Å
α = 90.00°, β = 90.00°, γ = 90.00°
Fractional positions:
Li 0.0000 0.0000 0.0000
Li 0.5000 0.5000 0.0000
Mn 0.1714 0.3286 0.5000
Mn 0.3286 0.8286 0.5000
Mn 0.6714 0.1714 0.5000
Mn 0.8286 0.6714 0.5000
B 0.1172 0.6172 0.0000
B 0.3828 0.1172 0.0000
B 0.6172 0.8828 0.0000
B 0.8828 0.3828 0.0000